a.
Computed, not measured: a geometry-optimized PmZnHg2 structure at the PBE level of DFT.

```
PmZnHg2
1.0
4.4619 0.0000 -1.0509
0.0000 9.5643 0.0000
-0.2467 0.0000 8.9498
Hg Zn Pm
8 4 4
Direct
0.6931 0.9071 0.3861
0.6931 0.5929 0.3861
0.1014 0.7500 0.2028
0.8986 0.2500 0.7972
0.3069 0.4071 0.6139
0.3069 0.0929 0.6139
0.0586 0.2500 0.1171
0.9414 0.7500 0.8829
0.8563 0.9749 0.7127
0.8563 0.5251 0.7127
0.1437 0.0251 0.2873
0.1437 0.4749 0.2873
0.5000 0.5000 0.0000
0.5000 0.0000 0.0000
0.6995 0.2500 0.3989
0.3005 0.7500 0.6011
```

The value obtained for the calculated volume is 379.5 Å³ per cell. As for the total magnetization: 0.0 μB per cell.

b.
Computed, not measured: a geometry-optimized PmZnHg2 structure at the PBE level of DFT.

```
PmZnHg2
1.0
-0.4195 3.4075 1.0101
-3.2509 -0.7789 1.2776
2.9281 -1.5653 6.4963
Pm Hg Zn
1 2 1
Direct
0.5000 0.5000 0.5000
0.0000 0.0000 0.2185
0.0000 0.0000 0.7815
0.5000 0.5000 0.0000
```

The value obtained for the calculated volume is 93.4 Å³ per cell. As for the total magnetization: 0.1 μB per cell.

Q: Which of them is the least stable? A: b.